Density functional theory data (PBE) for a relaxed PaBeNi crystal.

## Properties
**Polymorph energy (0 for the lowest one)**: 0.197 eV per atom
**Energy**: -5.992 eV/atom
**Volume**: 16.98 Å³/atom
**Total magnetization**: 0.06 μB/f.u.

abc: 4.1608 4.1608 4.1608
angles: 60.00 60.00 60.00
With the nearest neighbours (Å) after each atom.
Atoms (fractional coordinates):
Be 0.0000 0.0000 0.0000  4 Pa 2.55, 4 Ni 2.55
Pa 0.7500 0.7500 0.7500  4 Be 2.55
Ni 0.2500 0.2500 0.2500  4 Be 2.55